Entry 1:
Entry from the Alexandria database: a crystal of CuReTc2 relaxed with PBEsol (SCAN).

Cell: 3.102 3.102 5.631 Å, 90.00 90.00 90.00°
Positions (direct):
Cu 0.000 0.000 0.000
Re 0.500 0.500 0.231
Tc 0.000 0.000 0.498
Tc 0.500 0.500 0.775

Results
Uncorrected energy: -38.837 eV per atom
Crystal system: tetragonal
Energy relative to the lowest polymorph listed for this composition: 71 meV per atom

Entry 2:
Entry from the Alexandria database: a crystal of Re2TeMo relaxed with PBEsol (SCAN).

Cell: 2.812 2.812 9.319 Å, 90.00 90.00 112.51°
Positions (direct):
Re 0.000 0.000 0.222
Re 0.000 0.000 0.778
Te 0.500 0.500 0.500
Mo 0.500 0.500 0.000

Results
Uncorrected energy: -52.818 eV per atom
Formation energy without anion corrections: 0.765 eV/atom
Crystal system: orthorhombic

Entry 3:
Entry from the Alexandria database: a crystal of KP2Pt relaxed with PBEsol (SCAN).

Cell: 5.291 5.291 2.704 Å, 90.00 90.00 115.66°
Positions (direct):
K 0.000 0.000 0.000
P 0.000 0.500 0.500
P 0.500 0.000 0.500
Pt 0.500 0.500 0.000

Results
Uncorrected energy: -24.307 eV per atom
Crystal system: orthorhombic
Energy relative to the lowest polymorph listed for this composition: 426 meV per atom

Entry 4:
Entry from the Alexandria database: a crystal of Ga2BiPb2 relaxed with PBEsol (SCAN).

Cell: 7.716 7.716 4.337 Å, 90.00 90.00 90.00°
Positions (direct):
Ga 0.122 0.378 0.000
Ga 0.378 0.878 0.000
Ga 0.622 0.122 0.000
Ga 0.878 0.622 0.000
Bi 0.000 0.000 0.000
Bi 0.500 0.500 0.000
Pb 0.180 0.680 0.500
Pb 0.320 0.180 0.500
Pb 0.680 0.820 0.500
Pb 0.820 0.320 0.500

Results
Uncorrected energy: -52.443 eV per atom
Crystal system: tetragonal
Energy relative to the lowest polymorph listed for this composition: 3 meV per atom

Entry 5:
Entry from the Alexandria database: a crystal of BaTlAg4 relaxed with PBEsol (SCAN).

Cell: 5.716 5.716 5.716 Å, 60.00 60.00 60.00°
Positions (direct):
Ba 0.000 0.000 0.000
Tl 0.750 0.750 0.750
Ag 0.376 0.376 0.376
Ag 0.376 0.376 0.872
Ag 0.376 0.872 0.376
Ag 0.872 0.376 0.376

Results
Uncorrected energy: -39.708 eV per atom
Crystal system: cubic

Entry 6:
Entry from the Alexandria database: a crystal of ZnP2Rh relaxed with PBEsol (SCAN).

Cell: 3.972 3.972 3.455 Å, 90.00 90.00 90.00°
Positions (direct):
Zn 0.000 0.000 0.000
P 0.000 0.500 0.500
P 0.500 0.000 0.500
Rh 0.500 0.500 0.000

Results
Uncorrected energy: -16.833 eV per atom
Crystal system: tetragonal

Entry 7:
Entry from the Alexandria database: a crystal of CdCoCl2 relaxed with PBEsol (SCAN).

Cell: 3.085 3.085 7.807 Å, 90.00 90.00 90.00°
Positions (direct):
Cd 0.000 0.000 0.000
Co 0.500 0.500 0.746
Cl 0.000 0.000 0.603
Cl 0.500 0.500 0.214

Results
Uncorrected energy: -16.184 eV per atom
Formation energy without anion corrections: -0.266 eV/atom
Crystal system: tetragonal
Energy relative to the lowest polymorph listed for this composition: 238 meV per atom

Entry 8:
Entry from the Alexandria database: a crystal of ScCr2InGa relaxed with PBEsol (SCAN).

Cell: 4.630 4.630 4.920 Å, 90.00 90.00 90.00°
Positions (direct):
Sc 0.000 0.000 0.000
Cr 0.000 0.500 0.500
Cr 0.500 0.000 0.500
In 0.500 0.500 0.000
Ga 0.500 0.500 0.500

Results
Uncorrected energy: -19.611 eV per atom
Crystal system: tetragonal

Entry 9:
Entry from the Alexandria database: a crystal of Dy3CuSnSe7 relaxed with PBEsol (SCAN).

Cell: 10.131 10.131 6.237 Å, 90.00 90.00 120.00°
Positions (direct):
Dy 0.146 0.356 0.000
Dy 0.211 0.854 0.000
Dy 0.356 0.211 0.500
Dy 0.644 0.789 0.000
Dy 0.789 0.146 0.500
Dy 0.854 0.644 0.500
Cu 0.000 0.000 0.422
Cu 0.000 0.000 0.922
Sn 0.333 0.667 0.572
Sn 0.667 0.333 0.072
Se 0.076 0.562 0.756
Se 0.112 0.265 0.446
Se 0.153 0.888 0.446
Se 0.265 0.153 0.946
Se 0.333 0.667 0.171
Se 0.438 0.514 0.756
Se 0.486 0.924 0.756
Se 0.514 0.076 0.256
Se 0.562 0.486 0.256
Se 0.667 0.333 0.671
Se 0.735 0.847 0.446
Se 0.847 0.112 0.946
Se 0.888 0.735 0.946
Se 0.924 0.438 0.256

Results
Uncorrected energy: -29.328 eV per atom
Formation energy without anion corrections: -1.407 eV/atom
Crystal system: hexagonal

Entry 10:
Entry from the Alexandria database: a crystal of La2NiW relaxed with PBEsol (SCAN).

Cell: 8.539 8.539 8.539 Å, 23.81 23.81 23.81°
Positions (direct):
La 0.245 0.245 0.245
La 0.755 0.755 0.755
Ni 0.500 0.500 0.500
W 0.000 0.000 0.000

Results
Uncorrected energy: -42.300 eV per atom
Crystal system: trigonal

Entry 11:
Entry from the Alexandria database: a crystal of Ti3Ga relaxed with PBEsol (SCAN).

Cell: 5.012 5.012 5.012 Å, 134.62 134.62 66.13°
Positions (direct):
Ti 0.000 0.000 0.000
Ti 0.250 0.750 0.500
Ti 0.750 0.250 0.500
Ga 0.500 0.500 0.000

Results
Uncorrected energy: -16.472 eV per atom
Crystal system: tetragonal

Entry 12:
Entry from the Alexandria database: a crystal of LiTl2In relaxed with PBEsol (SCAN).

Cell: 9.642 9.642 9.642 Å, 20.45 20.45 20.45°
Positions (direct):
Li 0.000 0.000 0.000
Tl 0.257 0.257 0.257
Tl 0.743 0.743 0.743
In 0.500 0.500 0.500

Results
Uncorrected energy: -45.229 eV per atom
Crystal system: trigonal

Entry 13:
Entry from the Alexandria database: a crystal of CaZnW relaxed with PBEsol (SCAN).

Cell: 4.511 4.511 4.511 Å, 60.00 60.00 60.00°
Positions (direct):
Ca 0.000 0.000 0.000
Zn 0.750 0.750 0.750
W 0.500 0.500 0.500

Results
Uncorrected energy: -29.710 eV per atom
Crystal system: cubic
Energy relative to the lowest polymorph listed for this composition: 713 meV per atom

Entry 14:
Entry from the Alexandria database: a crystal of Re2HgIrCl relaxed with PBEsol (SCAN).

Cell: 4.351 4.351 4.401 Å, 90.00 90.00 90.00°
Positions (direct):
Re 0.000 0.500 0.000
Re 0.500 0.000 0.000
Hg 0.000 0.000 0.500
Ir 0.500 0.500 0.500
Cl 0.500 0.500 0.000

Results
Uncorrected energy: -55.929 eV per atom
Formation energy without anion corrections: 1.959 eV/atom
Crystal system: tetragonal

Entry 15:
Entry from the Alexandria database: a crystal of MnBe2Fe relaxed with PBEsol (SCAN).

Cell: 2.310 2.310 7.093 Å, 90.00 90.00 104.16°
Positions (direct):
Mn 0.000 0.000 0.000
Be 0.500 0.500 0.252
Be 0.500 0.500 0.748
Fe 0.000 0.000 0.500

Results
Uncorrected energy: -11.352 eV per atom
Crystal system: orthorhombic

Entry 16:
Entry from the Alexandria database: a crystal of In2CoPt relaxed with PBEsol (SCAN).

Cell: 9.000 9.000 9.000 Å, 19.35 19.35 19.35°
Positions (direct):
In 0.000 0.000 0.000
In 0.230 0.230 0.230
Co 0.487 0.487 0.487
Pt 0.750 0.750 0.750

Results
Uncorrected energy: -38.390 eV per atom
Crystal system: trigonal

Entry 17:
Entry from the Alexandria database: a crystal of ReW relaxed with PBEsol (SCAN).

Cell: 2.712 4.403 5.166 Å, 90.00 100.62 90.00°
Positions (direct):
Re 0.147 0.250 0.371
Re 0.853 0.750 0.629
W 0.385 0.750 0.129
W 0.615 0.250 0.871

Results
Uncorrected energy: -70.324 eV per atom
Crystal system: monoclinic
Energy relative to the lowest polymorph listed for this composition: 0 meV per atom

Entry 18:
Entry from the Alexandria database: a crystal of Sc2Si2Rh relaxed with PBEsol (SCAN).

Cell: 6.271 6.271 4.117 Å, 90.00 90.00 90.00°
Positions (direct):
Sc 0.171 0.329 0.000
Sc 0.329 0.829 0.000
Sc 0.671 0.171 0.000
Sc 0.829 0.671 0.000
Si 0.135 0.635 0.500
Si 0.365 0.135 0.500
Si 0.635 0.865 0.500
Si 0.865 0.365 0.500
Rh 0.000 0.000 0.500
Rh 0.500 0.500 0.500

Results
Uncorrected energy: -17.526 eV per atom
Formation energy without anion corrections: -1.070 eV/atom
Crystal system: tetragonal

Entry 19:
Entry from the Alexandria database: a crystal of Pr2ZnIn relaxed with PBEsol (SCAN).

Cell: 5.313 5.313 5.313 Å, 60.00 60.00 60.00°
Positions (direct):
Pr 0.250 0.250 0.250
Pr 0.750 0.750 0.750
Zn 0.000 0.000 0.000
In 0.500 0.500 0.500

Results
Uncorrected energy: -33.882 eV per atom
Crystal system: cubic

Entry 20:
Entry from the Alexandria database: a crystal of SrCdP2O7 relaxed with PBEsol (SCAN).

Cell: 5.439 8.548 14.012 Å, 90.00 112.68 90.00°
Positions (direct):
Sr 0.012 0.174 0.229
Sr 0.012 0.326 0.729
Sr 0.988 0.674 0.271
Sr 0.988 0.826 0.771
Cd 0.279 0.642 0.594
Cd 0.279 0.858 0.094
Cd 0.721 0.142 0.906
Cd 0.721 0.358 0.406
P 0.325 0.216 0.025
P 0.325 0.284 0.525
P 0.433 0.030 0.674
P 0.433 0.470 0.174
P 0.567 0.530 0.826
P 0.567 0.970 0.326
P 0.675 0.716 0.475
P 0.675 0.784 0.975
O 0.131 0.209 0.913
O 0.131 0.291 0.413
O 0.220 0.118 0.094
O 0.220 0.382 0.594
O 0.226 0.055 0.721
O 0.226 0.445 0.221
O 0.301 0.611 0.764
O 0.301 0.889 0.264
O 0.318 0.105 0.559
O 0.318 0.395 0.059
O 0.386 0.672 0.456
O 0.386 0.828 0.956
O 0.489 0.641 0.159
O 0.489 0.859 0.659
O 0.511 0.141 0.341
O 0.511 0.359 0.841
O 0.614 0.172 0.044
O 0.614 0.328 0.544
O 0.682 0.605 0.941
O 0.682 0.895 0.441
O 0.699 0.111 0.736
O 0.699 0.389 0.236
O 0.774 0.555 0.779
O 0.774 0.945 0.279
O 0.780 0.618 0.406
O 0.780 0.882 0.906
O 0.869 0.709 0.587
O 0.869 0.791 0.087

Results
Uncorrected energy: -13.277 eV per atom
Formation energy without anion corrections: -2.631 eV/atom
Crystal system: monoclinic